(1)
Density functional theory data (PBE-GGA) for a relaxed Sr3PrZn4 crystal.

Cell and atoms, written as CIF:
```
data_Sr3PrZn4
_cell_length_a 3.842
_cell_length_b 3.842
_cell_length_c 15.530
_cell_angle_alpha 90.00
_cell_angle_beta 90.00
_cell_angle_gamma 90.00
_space_group_name_H-M_alt 'P 4/m m m'
_space_group_IT_number 123
_space_group_name_Hall '-P 4 2'
loop_
_atom_site_label
_atom_site_fract_x
_atom_site_fract_y
_atom_site_fract_z
Sr1 0.000 0.000 0.000
Sr2 0.000 0.000 0.256
Pr1 0.000 0.000 0.500
Zn1 0.500 0.500 0.128
Zn2 0.500 0.500 0.391
```

Results
As for the uncorrected energy: -2.07 eV per atom.



(2)
Density functional theory data (PBE-GGA) for a relaxed TmHfBeRu crystal.

Cell and atoms, written as CIF:
```
data_TmHfBeRu
_cell_length_a 6.575
_cell_length_b 6.575
_cell_length_c 6.575
_cell_angle_alpha 90.00
_cell_angle_beta 90.00
_cell_angle_gamma 90.00
_space_group_name_H-M_alt 'F -4 3 m'
_space_group_IT_number 216
_space_group_name_Hall 'F -4 2 3'
loop_
_atom_site_label
_atom_site_fract_x
_atom_site_fract_y
_atom_site_fract_z
Tm1 0.000 0.000 0.000
Hf1 0.000 0.000 0.500
Be1 0.250 0.250 0.250
Ru1 0.250 0.250 0.750
```

Results
As for the uncorrected energy: -7.10 eV per atom.



(3)
Density functional theory data (PBE-GGA) for a relaxed CaFeCl2 crystal.

Cell and atoms, written as CIF:
```
data_CaFeCl2
_cell_length_a 6.787
_cell_length_b 8.251
_cell_length_c 4.264
_cell_angle_alpha 90.00
_cell_angle_beta 127.22
_cell_angle_gamma 90.00
_space_group_name_H-M_alt 'C 1 2/m 1'
_space_group_IT_number 12
loop_
_space_group_symop_operation_xyz
'x,y,z'
'-x,-y,-z'
'-x,y,-z'
'x,-y,z'
'x+1/2,y+1/2,z'
'-x+1/2,-y+1/2,-z'
'-x+1/2,y+1/2,-z'
'x+1/2,-y+1/2,z'
loop_
_atom_site_label
_atom_site_fract_x
_atom_site_fract_y
_atom_site_fract_z
Ca1 0.000 0.000 0.000
Fe1 0.000 0.500 0.000
Cl1 0.250 0.250 0.000
```

Results
The value obtained for the energy above the most stable polymorph in this dataset is 206 meV/atom. As for the uncorrected energy: -4.16 eV per atom. The energy relative to the elements, uncorrected comes out at -0.62 eV per atom.